A relaxed structure of Zr3GaO. Source: Alexandria, functional GGA-PBE.

Calculated values
E_form (uncorrected)	-1148	meV/atom
space group	Pm-3m, No. 221

a = 4.4510 Å, b = 4.4510 Å, c = 4.4510 Å
α = 90.00°, β = 90.00°, γ = 90.00°
Closest atoms and distances in Å follow each position.
Sites, in units of the cell vectors:
Zr 0.0000 0.0000 0.5000  2 O 2.23
Zr 0.0000 0.5000 0.0000  2 O 2.23
Zr 0.5000 0.0000 0.0000  2 O 2.23
Ga 0.5000 0.5000 0.5000  12 Zr 3.15
O 0.0000 0.0000 0.0000  6 Zr 2.23